Compound: ScPt3F
Source: the Alexandria database
Functional: PBE
Structure: optimized geometry

Cell lengths 4.4006, 4.4006, 4.4006 Å; angles 90.00, 90.00, 90.00 degrees
Last column: nearest neighbours and their distance in Å.
Atoms (fractional coordinates):
1 Sc 0.0000 0.0000 0.0000  12 Pt 3.11
2 Pt 0.0000 0.5000 0.5000  2 F 2.20
3 Pt 0.5000 0.0000 0.5000  2 F 2.20
4 Pt 0.5000 0.5000 0.0000  2 F 2.20
5 F 0.5000 0.5000 0.5000  6 Pt 2.20

Values from the calculation:
Total magnetization (μB per atom): 0.00
Excess energy over the best structure of this formula in the dataset (kJ/mol of atoms): 0.0
Space group: No. 221
E_form (uncorrected) (eV/atom): -0.039
N(E_F) (states/eV per cell): 1.30